GdCoNO | OQMD via LeMat-Bulk | PBE with a Hubbard U | optimized geometry; ρ = 7.23 g/cm3; SG = Pmc2_1 (26); volume = 113.1 Å³/cell; offset from the most stable computed form = 0 meV/atom
1.0
3.732 0.000 0.000
0.000 6.028 0.000
0.000 0.000 5.026
Gd Co N O
2 2 2 2
direct
0.000 0.200 0.000
0.000 0.800 0.500
0.500 0.306 0.517
0.500 0.694 0.017
0.000 0.179 0.479
0.000 0.821 0.979
0.500 0.375 0.924
0.500 0.625 0.424